# 1
Al2VGaFe PBE relaxed; crystal system = tetragonal; energy of formation = 5.75 eV per formula unit
1.0
4.513 0.000 0.000
0.000 4.235 0.000
0.000 0.000 4.513
Al Fe Ga V
2 1 1 1
direct
0.000 0.000 0.500
0.500 0.000 0.000
0.000 0.500 0.000
0.000 0.000 0.000
0.500 0.500 0.500



# 2
LaHfMg2 PBE relaxed; crystal system = tetragonal; energy of formation = 1.93 eV per formula unit
1.0
-3.994 1.715 7.451
7.019 -2.512 4.340
2.561 2.392 5.815
Mg Hf La
4 2 2
direct
0.651 0.125 0.250
0.099 0.625 0.250
0.375 0.349 0.750
0.875 0.901 0.750
0.000 0.000 0.000
0.750 0.250 0.500
0.500 0.500 0.000
0.250 0.750 0.500



# 3
ScCrRu2 PBE relaxed; crystal system = monoclinic; energy of formation = 0.16 eV per formula unit
1.0
4.380 0.000 0.000
0.000 2.818 -0.035
0.000 1.053 4.812
Cr Ru Sc
1 2 1
direct
0.500 0.837 0.766
0.000 0.923 0.980
0.500 0.241 0.258
0.000 0.498 0.497



# 4
MnPd4 PBE relaxed; crystal system = cubic; energy of formation = 3.95 eV per formula unit
1.0
-3.425 -1.547 -2.612
-0.869 -3.273 3.079
-2.908 2.800 2.156
Mn Pd
1 4
direct
0.500 0.500 0.500
0.000 0.000 0.000
0.500 0.000 0.500
0.000 0.500 0.500
0.500 0.500 0.000



# 5
Tl2CoMo PBE relaxed; crystal system = monoclinic; energy of formation = 1.78 eV per formula unit
1.0
3.088 0.000 0.000
0.000 3.034 -0.050
0.000 1.663 8.415
Co Mo Tl
1 1 2
direct
0.000 0.414 0.547
0.500 0.841 0.693
0.000 0.205 0.955
0.500 0.041 0.305